1.
Computed, not measured: a relaxed LaDyP2Rh5 crystal at the PBE-GGA level of DFT.

Cell and atoms, written as POSCAR:
```
LaDyP2Rh5
1.0
4.155 0.000 0.000
0.000 4.155 0.000
0.000 0.000 8.915
La Dy P Rh
1 1 2 5
Direct
0.000 0.000 0.000
0.000 0.000 0.500
0.500 0.500 0.158
0.500 0.500 0.842
0.000 0.500 0.267
0.000 0.500 0.733
0.500 0.000 0.267
0.500 0.000 0.733
0.500 0.500 0.500
```

Computed properties:
DFT formation energy ... -1003.4 meV per atom
SG ... P4/mmm (123)

2.
Computed, not measured: a relaxed LaDyP2S8 crystal at the PBE-GGA level of DFT.

Cell and atoms, written as POSCAR:
```
LaDyP2S8
1.0
6.609 0.000 0.000
-3.304 5.724 0.000
0.000 0.000 8.638
La Dy P S
1 1 2 8
Direct
0.000 0.000 0.000
0.000 0.000 0.500
0.333 0.667 0.192
0.667 0.333 0.808
0.164 0.328 0.273
0.164 0.836 0.273
0.328 0.164 0.727
0.333 0.667 0.963
0.667 0.333 0.037
0.672 0.836 0.273
0.836 0.164 0.727
0.836 0.672 0.727
```

Computed properties:
ΔE_f (raw) ... -0.84 eV/atom
SG ... P-3m1 (164)

3.
Computed, not measured: a relaxed LaDyPSe crystal at the PBE-GGA level of DFT.

Cell and atoms, written as POSCAR:
```
LaDyPSe
1.0
2.069 1.194 6.920
-2.069 1.194 6.920
0.000 -2.389 6.920
La Dy P Se
1 1 1 1
Direct
0.000 0.000 0.000
0.487 0.487 0.487
0.749 0.749 0.749
0.238 0.238 0.238
```

Computed properties:
ΔE_f (raw) ... -1.82 eV/atom
SG ... R3m (160)

4.
Computed, not measured: a relaxed La2SmDyP4 crystal at the PBE-GGA level of DFT.

Cell and atoms, written as POSCAR:
```
La2SmDyP4
1.0
7.214 0.000 0.000
0.000 4.168 0.000
-2.402 0.000 6.806
La Sm Dy P
2 1 1 4
Direct
0.000 0.000 0.000
0.500 0.500 0.000
0.000 0.500 0.500
0.500 0.000 0.500
0.250 0.000 0.740
0.257 0.500 0.262
0.743 0.500 0.738
0.750 0.000 0.260
```

Computed properties:
DFT formation energy ... -1573.5 meV per atom
SG ... P2/m (10)

5.
Computed, not measured: a relaxed LaSm3Dy2P6 crystal at the PBE-GGA level of DFT.

Cell and atoms, written as POSCAR:
```
LaSm3Dy2P6
1.0
3.554 -6.156 0.000
3.554 6.156 0.000
-2.370 0.000 6.702
La Sm Dy P
1 3 2 6
Direct
0.000 0.000 0.000
0.166 0.834 0.500
0.500 0.500 0.500
0.834 0.166 0.500
0.333 0.667 0.000
0.667 0.333 0.000
0.083 0.424 0.249
0.258 0.258 0.752
0.424 0.083 0.249
0.576 0.917 0.751
0.742 0.742 0.248
0.917 0.576 0.751
```

Computed properties:
DFT formation energy ... -1574.1 meV per atom
SG ... C2/m (12)

6.
Computed, not measured: a relaxed LaSm2DyP4 crystal at the PBE-GGA level of DFT.

Cell and atoms, written as POSCAR:
```
LaSm2DyP4
1.0
-2.918 2.918 5.834
2.918 -2.918 5.834
2.918 2.918 -5.834
La Sm Dy P
1 2 1 4
Direct
0.000 0.000 0.000
0.250 0.750 0.500
0.750 0.250 0.500
0.500 0.500 0.000
0.000 0.500 0.500
0.256 0.256 0.000
0.500 0.000 0.500
0.744 0.744 0.000
```

Computed properties:
DFT formation energy ... -1567.7 meV per atom
SG ... I4/mmm (139)

7.
Computed, not measured: a relaxed LaTb2Dy3P6 crystal at the PBE-GGA level of DFT.

Cell and atoms, written as POSCAR:
```
LaTb2Dy3P6
1.0
3.517 -6.091 0.000
3.517 6.091 0.000
-2.345 0.000 6.630
La Tb Dy P
1 2 3 6
Direct
0.000 0.000 0.000
0.333 0.667 0.000
0.667 0.333 0.000
0.166 0.834 0.500
0.500 0.500 0.500
0.834 0.166 0.500
0.085 0.425 0.256
0.255 0.255 0.745
0.425 0.085 0.256
0.575 0.915 0.744
0.745 0.745 0.255
0.915 0.575 0.744
```

Computed properties:
DFT formation energy ... -1594.7 meV per atom
SG ... C2/m (12)

8.
Computed, not measured: a relaxed LaDyTeP crystal at the PBE-GGA level of DFT.

Cell and atoms, written as POSCAR:
```
LaDyTeP
1.0
2.091 1.207 7.497
-2.091 1.207 7.497
0.000 -2.415 7.497
La Dy Te P
1 1 1 1
Direct
0.000 0.000 0.000
0.193 0.193 0.193
0.434 0.434 0.434
0.593 0.593 0.593
```

Computed properties:
ΔE_f (raw) ... -1.55 eV/atom
SG ... R3m (160)

9.
Computed, not measured: a relaxed LaDy2ThP4 crystal at the PBE-GGA level of DFT.

Cell and atoms, written as POSCAR:
```
LaDy2ThP4
1.0
7.085 0.000 0.000
0.000 4.111 0.000
-2.378 0.000 6.718
La Dy Th P
1 2 1 4
Direct
0.000 0.000 0.000
0.500 0.000 0.500
0.500 0.500 0.000
0.000 0.500 0.500
0.259 0.000 0.749
0.261 0.500 0.258
0.739 0.500 0.742
0.741 0.000 0.251
```

Computed properties:
DFT formation energy ... -1601.2 meV per atom
SG ... P2/m (10)

10.
Computed, not measured: a relaxed LaDy2Th3P6 crystal at the PBE-GGA level of DFT.

Cell and atoms, written as POSCAR:
```
LaDy2Th3P6
1.0
3.579 -6.189 0.000
3.579 6.189 0.000
-2.387 0.000 6.698
La Dy Th P
1 2 3 6
Direct
0.000 0.000 0.000
0.333 0.667 0.000
0.667 0.333 0.000
0.165 0.835 0.500
0.500 0.500 0.500
0.835 0.165 0.500
0.083 0.424 0.249
0.259 0.259 0.753
0.424 0.083 0.249
0.576 0.917 0.751
0.741 0.741 0.247
0.917 0.576 0.751
```

Computed properties:
DFT formation energy ... -1576.7 meV per atom
SG ... C2/m (12)

11.
Computed, not measured: a relaxed LaDyTh2P4 crystal at the PBE-GGA level of DFT.

Cell and atoms, written as POSCAR:
```
LaDyTh2P4
1.0
7.158 0.000 0.000
0.000 4.149 0.000
-2.409 0.000 6.769
La Dy Th P
1 1 2 4
Direct
0.000 0.000 0.000
0.000 0.500 0.500
0.500 0.000 0.500
0.500 0.500 0.000
0.249 0.000 0.744
0.254 0.500 0.257
0.746 0.500 0.743
0.751 0.000 0.256
```

Computed properties:
DFT formation energy ... -1571.9 meV per atom
SG ... P2/m (10)

12.
Computed, not measured: a relaxed La3DyTh2P6 crystal at the PBE-GGA level of DFT.

Cell and atoms, written as POSCAR:
```
La3DyTh2P6
1.0
3.616 -6.268 0.000
3.616 6.268 0.000
-2.410 0.000 6.857
La Dy Th P
3 1 2 6
Direct
0.000 0.000 0.000
0.333 0.667 0.000
0.667 0.333 0.000
0.500 0.500 0.500
0.167 0.833 0.500
0.833 0.167 0.500
0.090 0.421 0.262
0.249 0.249 0.739
0.421 0.090 0.262
0.579 0.910 0.738
0.751 0.751 0.261
0.910 0.579 0.738
```

Computed properties:
DFT formation energy ... -1596.9 meV per atom
SG ... C2/m (12)

Summary of electronic total energy in eV/f.u.
-66.14 -63.42 -25.69 -53.40 -79.64 -53.15 -79.59 -24.27 -56.00 -87.77 -58.58 -85.85
(order as listed above)